1.
A plane-wave DFT calculation with GGA-PBE was carried out for an optimized crystal structure of LiMg2AgAu4.

a = 4.4998 Å, b = 4.4998 Å, c = 6.8700 Å
α = 90.00°, β = 90.00°, γ = 90.00°
With the nearest neighbours (Å) after each atom.
Space group P4/mmm (No. 123)
Asymmetric unit:
1 Li 0.0000 0.0000 0.0000 (multiplicity 1)  8 Au 2.77
2 Mg 0.0000 0.0000 0.5000 (multiplicity 1)  8 Au 2.89, 4 Ag 3.18
3 Mg 0.5000 0.5000 0.0000 (multiplicity 1)  8 Au 2.77
4 Ag 0.5000 0.5000 0.5000 (multiplicity 1)  8 Au 2.89, 4 Mg 3.18
5 Au 0.0000 0.5000 0.2350 (multiplicity 4)  2 Li 2.77, 4 Mg 2.77-2.89, 2 Ag 2.89

Summary:
E_tot   -24.68 eV for the cell shown
Crystal system   tetragonal


2.
A plane-wave DFT calculation with GGA-PBE was carried out for an optimized crystal structure of Nb2TlCu.

a = 6.6425 Å, b = 6.6425 Å, c = 6.6425 Å
α = 90.00°, β = 90.00°, γ = 90.00°
With the nearest neighbours (Å) after each atom.
Space group F-43m (No. 216)
Asymmetric unit:
1 Nb 0.0000 0.0000 0.0000 (multiplicity 4)  4 Nb 2.88, 4 Cu 2.88
2 Nb 0.2500 0.2500 0.2500 (multiplicity 4)  4 Tl 2.88, 4 Nb 2.88
3 Tl 0.0000 0.0000 0.5000 (multiplicity 4)  4 Cu 2.88, 4 Nb 2.88
4 Cu 0.2500 0.2500 0.7500 (multiplicity 4)  4 Tl 2.88, 4 Nb 2.88

Summary:
E_tot   -95.78 eV for the cell shown
Crystal system   cubic


3.
A plane-wave DFT calculation with GGA-PBE was carried out for an optimized crystal structure of GaFe2P2.

a = 3.5676 Å, b = 3.5676 Å, c = 12.0459 Å
α = 90.00°, β = 90.00°, γ = 120.00°
With the nearest neighbours (Å) after each atom.
Space group P6_3/mmc (No. 194)
Asymmetric unit:
1 Ga 0.0000 0.0000 0.2500 (multiplicity 2)  6 Fe 2.55
2 Fe 0.3333 0.6667 0.1245 (multiplicity 4)  4 P 2.19-2.25
3 P 0.3333 0.6667 0.5621 (multiplicity 4)  4 Fe 2.19-2.25

Summary:
E_tot   -63.21 eV for the cell shown
Crystal system   hexagonal